(1)
# Al3Ag

An optimized crystal structure of Al3Ag (GGA-PBEsol, the Alexandria database).

Cell and atoms, written as CIF:
```
data_Al3Ag
_symmetry_space_group_name_H-M 'P 1'
_symmetry_Int_Tables_number 1
_symmetry_space_group_name_Hall 'P 1'
_cell_length_a 2.9463
_cell_length_b 4.8995
_cell_length_c 4.8160
_cell_angle_alpha 99.49
_cell_angle_beta 107.81
_cell_angle_gamma 90.00
loop_
_atom_site_label
_atom_site_fract_x
_atom_site_fract_y
_atom_site_fract_z
Al1 0.2520 0.7486 0.5041
Al2 0.5000 0.5000 0.0000
Al3 0.7480 0.2514 0.4959
Ag1 0.0000 0.0000 0.0000
```

Properties
- Crystal system: monoclinic
- Magnetization: 0.00 μB per cell
- E_tot: -15.66 eV per cell
- Theoretical density: 4.81 g/cm3



(2)
# Al3Ag

An optimized crystal structure of Al3Ag (GGA-PBEsol, the Alexandria database).

Cell and atoms, written as CIF:
```
data_Al3Ag
_symmetry_space_group_name_H-M 'P 1'
_symmetry_Int_Tables_number 1
_symmetry_space_group_name_Hall 'P 1'
_cell_length_a 2.8332
_cell_length_b 4.0033
_cell_length_c 5.7475
_cell_angle_alpha 90.00
_cell_angle_beta 90.00
_cell_angle_gamma 90.00
loop_
_atom_site_label
_atom_site_fract_x
_atom_site_fract_y
_atom_site_fract_z
Al1 0.5000 0.5000 0.7467
Al2 0.0000 0.0000 0.5000
Al3 0.5000 0.5000 0.2533
Ag1 0.0000 0.0000 0.0000
```

Properties
- Crystal system: orthorhombic
- Magnetization: 0.00 μB per cell
- E_tot: -15.62 eV per cell
- Theoretical density: 4.81 g/cm3



(3)
# AlAg2

An optimized crystal structure of AlAg2 (GGA-PBEsol, the Alexandria database).

Cell and atoms, written as CIF:
```
data_AlAg2
_symmetry_space_group_name_H-M 'P 1'
_symmetry_Int_Tables_number 1
_symmetry_space_group_name_Hall 'P 1'
_cell_length_a 4.8619
_cell_length_b 4.8619
_cell_length_c 4.9903
_cell_angle_alpha 100.70
_cell_angle_beta 100.70
_cell_angle_gamma 118.93
loop_
_atom_site_label
_atom_site_fract_x
_atom_site_fract_y
_atom_site_fract_z
Al1 0.4095 0.5905 0.7500
Al2 0.5905 0.4095 0.2500
Ag1 0.7388 0.2612 0.7500
Ag2 0.9214 0.0786 0.2500
Ag3 0.0786 0.9214 0.7500
Ag4 0.2612 0.7388 0.2500
```

Properties
- Crystal system: monoclinic
- Magnetization: 0.00 μB per cell
- E_tot: -22.02 eV per cell
- Theoretical density: 8.39 g/cm3



(4)
# Al5Ag3

An optimized crystal structure of Al5Ag3 (GGA-PBEsol, the Alexandria database).

Cell and atoms, written as CIF:
```
data_Al5Ag3
_symmetry_space_group_name_H-M 'P 1'
_symmetry_Int_Tables_number 1
_symmetry_space_group_name_Hall 'P 1'
_cell_length_a 3.9511
_cell_length_b 4.0422
_cell_length_c 8.1736
_cell_angle_alpha 90.00
_cell_angle_beta 90.00
_cell_angle_gamma 90.00
loop_
_atom_site_label
_atom_site_fract_x
_atom_site_fract_y
_atom_site_fract_z
Al1 0.0000 0.5000 0.0000
Al2 0.5000 0.5000 0.7480
Al3 0.5000 0.0000 0.5000
Al4 0.5000 0.5000 0.2520
Al5 0.5000 0.0000 0.0000
Ag1 0.0000 0.0000 0.7514
Ag2 0.0000 0.5000 0.5000
Ag3 0.0000 0.0000 0.2485
```

Properties
- Crystal system: orthorhombic
- Magnetization: 0.00 μB per cell
- E_tot: -30.44 eV per cell
- Theoretical density: 5.83 g/cm3



(5)
# Al3Ag2

An optimized crystal structure of Al3Ag2 (GGA-PBEsol, the Alexandria database).

Cell and atoms, written as CIF:
```
data_Al3Ag2
_symmetry_space_group_name_H-M 'P 1'
_symmetry_Int_Tables_number 1
_symmetry_space_group_name_Hall 'P 1'
_cell_length_a 2.9324
_cell_length_b 2.9324
_cell_length_c 11.0101
_cell_angle_alpha 82.35
_cell_angle_beta 82.35
_cell_angle_gamma 60.00
loop_
_atom_site_label
_atom_site_fract_x
_atom_site_fract_y
_atom_site_fract_z
Al1 0.0000 0.0000 0.0000
Al2 0.2005 0.2005 0.3985
Al3 0.7995 0.7995 0.6015
Ag1 0.5999 0.5999 0.2002
Ag2 0.4001 0.4001 0.7998
```

Properties
- Crystal system: trigonal
- Magnetization: 0.00 μB per cell
- E_tot: -19.24 eV per cell
- Theoretical density: 6.08 g/cm3



(6)
# AlAg

An optimized crystal structure of AlAg (GGA-PBEsol, the Alexandria database).

Cell and atoms, written as CIF:
```
data_AlAg
_symmetry_space_group_name_H-M 'P 1'
_symmetry_Int_Tables_number 1
_symmetry_space_group_name_Hall 'P 1'
_cell_length_a 4.0063
_cell_length_b 4.0287
_cell_length_c 8.5161
_cell_angle_alpha 103.68
_cell_angle_beta 103.60
_cell_angle_gamma 90.00
loop_
_atom_site_label
_atom_site_fract_x
_atom_site_fract_y
_atom_site_fract_z
Al1 0.3758 0.8758 0.7515
Al2 0.6218 0.1218 0.2436
Al3 0.7484 0.7484 0.4969
Al4 0.8754 0.3754 0.7509
Ag1 0.9954 0.9954 0.9908
Ag2 0.1289 0.6289 0.2579
Ag3 0.2553 0.2553 0.5106
Ag4 0.4990 0.4990 0.9979
```

Properties
- Crystal system: orthorhombic
- Magnetization: 0.00 μB per cell
- E_tot: -29.92 eV per cell
- Theoretical density: 6.91 g/cm3